1.
A plane-wave DFT calculation with GGA-PBE was carried out for an optimized crystal structure of BaTc2Te.

Results
- V (Å³/cell) = 89.4
- raw formation energy (eV per atom) = 0.732

a b c (Å): 3.372 3.372 7.864
angles (deg): 90.00 90.00 90.00
Space group P4/mmm (No. 123)
Inequivalent atoms, fractional coordinates:
Ba (0.000, 0.000, 0.000) x1
Tc (0.500, 0.500, 0.324) x2
Te (0.000, 0.000, 0.500) x1

2.
A plane-wave DFT calculation with GGA-PBE was carried out for an optimized crystal structure of Li2CdF4.

Results
- V (Å³/cell) = 217.8
- distance to the lowest polymorph of the same formula (meV/atom) = 266
- raw formation energy (eV per atom) = -2.331

a b c (Å): 4.438 4.438 11.060
angles (deg): 90.00 90.00 90.00
Space group I4/mmm (No. 139)
Inequivalent atoms, fractional coordinates:
Li (0.000, 0.000, 0.144) x4
Cd (0.000, 0.000, 0.500) x2
F (0.000, 0.000, 0.302) x4
F (0.000, 0.500, 0.000) x4

3.
A plane-wave DFT calculation with GGA-PBE was carried out for an optimized crystal structure of CePaPb.

Results
- V (Å³/cell) = 315.0
- distance to the lowest polymorph of the same formula (meV/atom) = 0
- E_form (eV per atom) = 0.072

a b c (Å): 5.480 6.459 8.901
angles (deg): 90.00 90.00 90.00
Space group Immm (No. 71)
Inequivalent atoms, fractional coordinates:
Ce (0.000, 0.000, 0.159) x4
Pa (0.000, 0.500, 0.149) x4
Pb (0.000, 0.251, 0.500) x4

4.
A plane-wave DFT calculation with GGA-PBE was carried out for an optimized crystal structure of NdDy2Sc5.

Results
- V (Å³/cell) = 435.2
- E_form (eV per atom) = 0.059

a b c (Å): 6.838 6.838 9.307
angles (deg): 90.00 90.00 90.00
Space group I4mm (No. 107)
Inequivalent atoms, fractional coordinates:
Nd (0.000, 0.000, 0.000) x2
Dy (0.000, 0.500, 0.000) x4
Sc (0.000, 0.000, 0.501) x2
Sc (0.250, 0.250, 0.250) x8

5.
A plane-wave DFT calculation with GGA-PBE was carried out for an optimized crystal structure of TbMnSn2.

Results
- V (Å³/cell) = 282.1
- E_form (eV per atom) = -0.276

a b c (Å): 4.4812 4.4812 16.2230
angles (deg): 90.00 90.00 120.00
Space group R-3m (No. 166, hexagonal axes)
Inequivalent atoms, fractional coordinates:
Tb (0.0000, 0.0000, 0.0000) x3
Mn (0.0000, 0.0000, 0.5000) x3
Sn (0.0000, 0.0000, 0.2271) x6

6.
A plane-wave DFT calculation with GGA-PBE was carried out for an optimized crystal structure of NpNi6Ge.

Results
- V (Å³/cell) = 101.5
- E_form (eV per atom) = -0.077

a b c (Å): 5.2328 5.2328 4.2799
angles (deg): 90.00 90.00 120.00
Space group P-6m2 (No. 187)
Inequivalent atoms, fractional coordinates:
Np (0.0000, 0.0000, 0.0000) x1
Ni (0.3519, 0.1759, 0.5000) x3
Ni (0.5007, 0.0014, 0.0000) x3
Ge (0.3333, 0.6667, 0.5000) x1

7.
A plane-wave DFT calculation with GGA-PBE was carried out for an optimized crystal structure of Ga2Sn2Br.

Results
- V (Å³/cell) = 262.1
- distance to the lowest polymorph of the same formula (meV/atom) = 7
- raw formation energy (eV per atom) = -0.038

a b c (Å): 4.636 4.636 12.195
angles (deg): 90.00 90.00 90.00
Space group I4/mmm (No. 139)
Inequivalent atoms, fractional coordinates:
Ga (0.000, 0.000, 0.103) x4
Sn (0.000, 0.500, 0.250) x4
Br (0.000, 0.000, 0.500) x2

8.
A plane-wave DFT calculation with GGA-PBE was carried out for an optimized crystal structure of Gd2GaCu.

Results
- V (Å³/cell) = 322.0
- E_form (eV per atom) = 0.192

a b c (Å): 3.4788 3.4788 30.7250
angles (deg): 90.00 90.00 120.00
Space group R-3m (No. 166, hexagonal axes)
Inequivalent atoms, fractional coordinates:
Gd (0.0000, 0.0000, 0.0991) x6
Ga (0.0000, 0.0000, 0.0000) x3
Cu (0.0000, 0.0000, 0.5000) x3

9.
A plane-wave DFT calculation with GGA-PBE was carried out for an optimized crystal structure of Hg3GeI.

Results
- V (Å³/cell) = 251.9
- distance to the lowest polymorph of the same formula (meV/atom) = 826
- raw formation energy (eV per atom) = 0.802

a b c (Å): 6.315 6.315 6.315
angles (deg): 90.00 90.00 90.00
Space group Pm-3m (No. 221)
Inequivalent atoms, fractional coordinates:
Hg (0.000, 0.000, 0.500) x3
Ge (0.500, 0.500, 0.500) x1
I (0.000, 0.000, 0.000) x1

10.
A plane-wave DFT calculation with GGA-PBE was carried out for an optimized crystal structure of K2LiCl.

Results
- V (Å³/cell) = 291.4
- distance to the lowest polymorph of the same formula (meV/atom) = 8
- raw formation energy (eV per atom) = -0.810

a b c (Å): 5.489 5.515 9.626
angles (deg): 90.00 90.00 90.00
Space group Cmmm (No. 65)
Inequivalent atoms, fractional coordinates:
K (0.000, 0.000, 0.195) x4
Li (0.000, 0.500, 0.500) x2
Cl (0.000, 0.500, 0.000) x2

11.
A plane-wave DFT calculation with GGA-PBE was carried out for an optimized crystal structure of KP2Au.

Results
- V (Å³/cell) = 163.0
- distance to the lowest polymorph of the same formula (meV/atom) = 878
- E_form (eV per atom) = 0.556

a b c (Å): 4.340 4.340 8.655
angles (deg): 90.00 90.00 90.00
Space group I-4m2 (No. 119)
Inequivalent atoms, fractional coordinates:
K (0.000, 0.000, 0.000) x2
P (0.000, 0.000, 0.500) x2
P (0.000, 0.500, 0.750) x2
Au (0.000, 0.500, 0.250) x2

12.
A plane-wave DFT calculation with GGA-PBE was carried out for an optimized crystal structure of CrP2WS.

Results
- V (Å³/cell) = 87.0
- distance to the lowest polymorph of the same formula (meV/atom) = 0
- raw formation energy (eV per atom) = 1.016

a b c (Å): 4.424 4.424 4.448
angles (deg): 90.00 90.00 90.00
Space group P4/mmm (No. 123)
Inequivalent atoms, fractional coordinates:
Cr (0.000, 0.000, 0.000) x1
P (0.000, 0.500, 0.000) x2
W (0.500, 0.500, 0.500) x1
S (0.000, 0.000, 0.500) x1

Copy entry 9 word for word.
A plane-wave DFT calculation with GGA-PBE was carried out for an optimized crystal structure of Hg3GeI.

Results
- V (Å³/cell) = 251.9
- distance to the lowest polymorph of the same formula (meV/atom) = 826
- raw formation energy (eV per atom) = 0.802

a b c (Å): 6.315 6.315 6.315
angles (deg): 90.00 90.00 90.00
Space group Pm-3m (No. 221)
Inequivalent atoms, fractional coordinates:
Hg (0.000, 0.000, 0.500) x3
Ge (0.500, 0.500, 0.500) x1
I (0.000, 0.000, 0.000) x1

Look up the V of the third one.
315.0 Å³/cell